Ba2InRh | GGA-PBEsol | relaxed

Summary:
energy of formation	-0.97	eV/f.u.
spin magnetization	0.0	μB per formula unit

Structure (CIF):
```
data_Ba2InRh
_symmetry_space_group_name_H-M 'A m m 2'
_symmetry_Int_Tables_number 38
_cell_length_a 4.6650
_cell_length_b 4.7490
_cell_length_c 12.2264
_cell_angle_alpha 90.00
_cell_angle_beta 90.00
_cell_angle_gamma 90.00
loop_
_symmetry_equiv_pos_as_xyz
'x,y,z'
'-x,-y,z'
'-x,y,z'
'x,-y,z'
'x,y+1/2,z+1/2'
'-x,-y+1/2,z+1/2'
'-x,y+1/2,z+1/2'
'x,-y+1/2,z+1/2'
loop_
_atom_site_label
_atom_site_fract_x
_atom_site_fract_y
_atom_site_fract_z
Ba1 0.0000 0.0000 0.0000
Ba2 0.5000 0.0000 0.2812
In1 0.0000 0.0000 0.6993
Rh1 0.5000 0.0000 0.5946
```